No. 1
This record from the Alexandria database describes an optimized crystal structure of NdSc2Os. The functional is PBE-GGA.

```
NdSc2Os
1.0
-2.5165 -1.9416 0.8148
1.3237 -0.4712 2.9653
-4.3032 6.8395 3.0076
Sc Os Nd
2 1 1
direct
0.0000 0.0000 0.1764
0.0000 0.0000 0.8236
0.5000 0.5000 0.0000
0.5000 0.5000 0.5000
```

Output
For the electronic total energy, the calculation gives -7.42 eV per atom. As for the density: 7.6 g cm⁻³. Its space-group type is No. 123. The value obtained for the total magnetization is 0.0000 μB/atom. As for the density of states at the Fermi level: 2.83 states/eV per cell. For the formation energy from the elements, the calculation gives -0.257 eV/atom.

---

No. 2
This record from the Alexandria database describes an optimized crystal structure of La2MgSnIr. The functional is PBE-GGA.

```
La2MgSnIr
1.0
-4.3225 2.0306 -2.7180
-0.0956 -4.4733 -3.1899
-3.1363 -2.2768 3.2868
Sn La Ir Mg
1 2 1 1
direct
0.5000 0.5000 0.5000
0.0000 0.5000 0.0000
0.5000 0.0000 0.0000
0.0000 0.0000 0.0000
0.0000 0.0000 0.5000
```

Output
For the electronic total energy, the calculation gives -5.41 eV per atom. As for the density: 6.6 g cm⁻³. Its space-group type is No. 123. The value obtained for the total magnetization is 0.0000 μB/atom. As for the density of states at the Fermi level: 2.93 states/eV per cell. For the formation energy from the elements, the calculation gives -0.549 eV/atom.

---

No. 3
This record from the Alexandria database describes an optimized crystal structure of GeTeSe2N. The functional is PBE-GGA.

```
GeTeSe2N
1.0
5.4220 0.0000 0.0000
0.0000 5.4220 0.0000
0.0000 0.0000 3.9565
N Se Te Ge
1 2 1 1
direct
0.0000 0.0000 0.5000
0.0000 0.5000 0.0000
0.5000 0.0000 0.0000
0.0000 0.0000 0.0000
0.5000 0.5000 0.5000
```

Output
The calculation puts the formation energy from raw total energies at 0.88 eV per atom. For the electronic total energy, the calculation gives -3.73 eV per atom. As for the density: 5.3 g cm⁻³. Its space-group type is No. 123. The value obtained for the total magnetization is 0.0000 μB/atom. As for the density of states at the Fermi level: 2.81 states/eV per cell. As for the energy above the most stable polymorph in this dataset: 244 meV/atom.

---

No. 4
This record from the Alexandria database describes an optimized crystal structure of In5Ga4Hg. The functional is PBE-GGA.

```
In5Ga4Hg
1.0
3.3689 0.8111 0.7622
0.8048 3.3718 0.7569
2.6087 2.6603 23.4387
In Ga Hg
5 4 1
direct
0.5104 0.5113 0.8937
0.5039 0.5054 0.6972
0.4896 0.4887 0.1063
0.4961 0.4946 0.3028
0.5000 0.5000 0.5000
0.9944 0.9928 0.2042
0.9978 0.9972 0.4009
0.0022 0.0028 0.5991
0.0056 0.0072 0.7958
0.0000 0.0000 0.0000
```

Output
For the electronic total energy, the calculation gives -2.56 eV per atom. As for the density: 7.3 g cm⁻³. Its space-group type is No. 12. The value obtained for the total magnetization is 0.0000 μB/atom. As for the density of states at the Fermi level: 3.65 states/eV per cell. For the formation energy from the elements, the calculation gives 0.052 eV/atom.